AuBrCl2: relaxed, PBE.

The volume comes out at 29.78 Å³/atom. As for the energy relative to the lowest polymorph listed for this composition: 0.57 eV per formula unit. The calculation puts the uncorrected formation energy at -6.74 kJ/mol of atoms.

The structure belongs to space group Imm2 (No. 44); the cell edges are 3.6627, 7.6692 and 8.4812 Å and the angles 90.00°, 90.00° and 90.00°. The distinct sites, in fractional coordinates, are Au at (0.0000, 0.0000, 0.0000), Br at (0.0000, 0.5000, 0.2944), Cl at (0.0000, 0.0000, 0.5498) and Cl at (0.0000, 0.5000, 0.6880).